[1]
SmAg2Hg6: relaxed, PBE-GGA.

The calculation puts the total energy at -12.69 eV per formula unit. The calculated density is 12.33 Mg/m³.

Cell: 3.353 8.640 8.640 Å, 60.22 78.50 78.50°
Fractional positions:
Sm  0.000  0.000  0.000
Ag  0.148  0.356  0.356
Ag  0.852  0.644  0.644
Hg  0.324  0.006  0.348
Hg  0.676  0.994  0.652
Hg  0.676  0.652  0.994
Hg  0.500  0.331  0.669
Hg  0.500  0.669  0.331
Hg  0.324  0.348  0.006

[2]
SmAg3Hg3: relaxed, PBE-GGA.

The calculation puts the total energy at -10.95 eV per formula unit. The calculated density is 8.31 Mg/m³. Its energy above the lowest structure with this stoichiometry is 541 meV/atom.

Cell: 7.547 7.547 7.547 Å, 90.00 90.00 90.00°
Fractional positions:
Ag  0.000  0.250  0.500
Ag  0.000  0.750  0.500
Ag  0.500  0.000  0.750
Ag  0.750  0.500  0.000
Ag  0.500  0.000  0.250
Ag  0.250  0.500  0.000
Hg  0.250  0.000  0.500
Hg  0.000  0.500  0.250
Hg  0.500  0.750  0.000
Hg  0.750  0.000  0.500
Hg  0.000  0.500  0.750
Hg  0.500  0.250  0.000
Sm  0.500  0.500  0.500
Sm  0.000  0.000  0.000

[3]
Sm6Ag5Hg: relaxed, PBE-GGA.

The calculation puts the total energy at -46.64 eV per formula unit. The calculated density is 8.79 Mg/m³.

Cell: 5.289 7.401 8.355 Å, 90.00 71.55 90.00°
Fractional positions:
Sm  0.832  0.748  0.336
Sm  0.832  0.252  0.336
Sm  0.500  0.254  0.000
Sm  0.500  0.746  0.000
Sm  0.168  0.748  0.664
Sm  0.168  0.252  0.664
Ag  0.666  0.500  0.668
Ag  0.334  0.000  0.332
Ag  0.000  0.500  0.000
Ag  0.666  0.000  0.668
Ag  0.334  0.500  0.332
Hg  0.000  0.000  0.000

[4]
Sm2AgHg6: relaxed, PBE-GGA.

The calculation puts the total energy at -15.73 eV per formula unit. The calculated density is 11.47 Mg/m³. Its energy above the lowest structure with this stoichiometry is 110 meV/atom.

Cell: 5.643 8.120 7.190 Å, 124.38 115.04 90.00°
Fractional positions:
Sm  0.588  0.683  0.366
Sm  0.412  0.317  0.634
Ag  0.000  0.000  0.000
Hg  0.071  0.460  0.293
Hg  0.929  0.167  0.707
Hg  0.929  0.540  0.707
Hg  0.500  0.178  0.000
Hg  0.071  0.833  0.293
Hg  0.500  0.822  0.000

| no. | size of the total moment (μB/cell) | DFT formation energy (eV per atom) |
| --- | --- | --- |
| 1 | 0.00 | -0.0511 |
| 2 | 0.00 | 0.4606 |
| 3 | 0.00 | -0.3138 |
| 4 | 0.00 | -0.1811 |